# 1
# BW2C

Crystalline BW2C at its relaxed geometry (PBE-GGA, Alexandria).

```
BW2C
1.0
4.7700 0.0000 0.0000
0.0000 4.7700 0.0000
0.0000 0.0000 9.5691
B W C
4 8 4
direct
0.0000 0.0000 0.0000
0.0000 0.5000 0.2500
0.5000 0.0000 0.7500
0.5000 0.5000 0.5000
0.2387 0.2500 0.6250
0.2500 0.7387 0.8750
0.2500 0.7613 0.3750
0.2613 0.2500 0.1250
0.7387 0.7500 0.1250
0.7500 0.2387 0.3750
0.7500 0.2613 0.8750
0.7613 0.7500 0.6250
0.0000 0.0000 0.5000
0.0000 0.5000 0.7500
0.5000 0.0000 0.2500
0.5000 0.5000 0.0000
```

Computed properties:
crystal system: tetragonal
symmetry: I-42d
E_form: 0.67 eV per atom
DOS(E_F): 0.61 states/eV/atom



# 2
# B2WC

Crystalline B2WC at its relaxed geometry (PBE-GGA, Alexandria).

```
B2WC
1.0
5.2118 0.0000 0.0000
0.0000 5.2118 0.0000
0.0000 0.0000 5.0766
B W C
8 4 4
direct
0.1432 0.2500 0.1250
0.2500 0.6432 0.3750
0.2500 0.8568 0.8750
0.3568 0.2500 0.6250
0.6432 0.7500 0.6250
0.7500 0.1432 0.8750
0.7500 0.3568 0.3750
0.8568 0.7500 0.1250
0.0000 0.0000 0.5000
0.0000 0.5000 0.7500
0.5000 0.0000 0.2500
0.5000 0.5000 0.0000
0.0000 0.0000 0.0000
0.0000 0.5000 0.2500
0.5000 0.0000 0.7500
0.5000 0.5000 0.5000
```

Computed properties:
crystal system: tetragonal
symmetry: I-42d
E_form: 0.48 eV per atom
DOS(E_F): 0.31 states/eV/atom



# 3
# BWC3

Crystalline BWC3 at its relaxed geometry (PBE-GGA, Alexandria).

```
BWC3
1.0
3.4399 0.0000 0.0000
0.0000 3.4399 0.0000
0.0000 0.0000 3.4399
B W C
1 1 3
direct
0.0000 0.0000 0.0000
0.5000 0.5000 0.5000
0.0000 0.0000 0.5000
0.0000 0.5000 0.0000
0.5000 0.0000 0.0000
```

Computed properties:
crystal system: cubic
symmetry: Pm-3m
E_form: 2.17 eV per atom
DOS(E_F): 0.66 states/eV/atom



# 4
# BW2C

Crystalline BW2C at its relaxed geometry (PBE-GGA, Alexandria).

```
BW2C
1.0
5.5420 0.0000 0.0000
0.0000 5.5420 0.0000
0.0000 0.0000 5.5420
B W C
4 8 4
direct
0.0000 0.0000 0.0000
0.0000 0.5000 0.5000
0.5000 0.0000 0.5000
0.5000 0.5000 0.0000
0.2500 0.2500 0.2500
0.2500 0.2500 0.7500
0.2500 0.7500 0.2500
0.2500 0.7500 0.7500
0.7500 0.2500 0.2500
0.7500 0.2500 0.7500
0.7500 0.7500 0.2500
0.7500 0.7500 0.7500
0.0000 0.0000 0.5000
0.0000 0.5000 0.0000
0.5000 0.0000 0.0000
0.5000 0.5000 0.5000
```

Computed properties:
crystal system: cubic
symmetry: Fm-3m
E_form: 0.63 eV per atom
DOS(E_F): 0.61 states/eV/atom



# 5
# YBC

Crystalline YBC at its relaxed geometry (PBE-GGA, Alexandria).

```
YBC
1.0
7.0528 0.0000 0.0000
0.0000 3.4243 0.0000
0.0000 0.0000 6.4204
Y B C
4 4 4
direct
0.1701 0.2500 0.1554
0.3299 0.7500 0.6554
0.6701 0.2500 0.3446
0.8299 0.7500 0.8446
0.0239 0.2500 0.5728
0.4761 0.7500 0.0728
0.5239 0.2500 0.9272
0.9761 0.7500 0.4272
0.0873 0.2500 0.7923
0.4127 0.7500 0.2923
0.5873 0.2500 0.7077
0.9127 0.7500 0.2077
```

Computed properties:
crystal system: orthorhombic
symmetry: Pnma
E_form: -0.41 eV per atom
DOS(E_F): 0.18 states/eV/atom



# 6
# YBC3

Crystalline YBC3 at its relaxed geometry (PBE-GGA, Alexandria).

```
YBC3
1.0
4.5440 0.0000 0.0000
0.0000 4.5440 0.0000
0.0000 0.0000 4.5440
Y B C
1 1 3
direct
0.0000 0.0000 0.0000
0.5000 0.5000 0.5000
0.0000 0.0000 0.5000
0.0000 0.5000 0.0000
0.5000 0.0000 0.0000
```

Computed properties:
crystal system: cubic
symmetry: Pm-3m
E_form: 3.63 eV per atom
DOS(E_F): 0.87 states/eV/atom



# 7
# Y4B5C2

Crystalline Y4B5C2 at its relaxed geometry (PBE-GGA, Alexandria).

```
Y4B5C2
1.0
6.5922 0.0000 0.0000
0.0000 3.6268 0.0000
-0.5392 0.0000 6.6142
Y B C
4 5 2
direct
0.2261 0.0000 0.3946
0.2356 0.0000 0.9214
0.7644 0.0000 0.0786
0.7739 0.0000 0.6054
0.0975 0.5000 0.6910
0.3488 0.5000 0.6691
0.5000 0.5000 0.5000
0.6512 0.5000 0.3309
0.9025 0.5000 0.3090
0.0371 0.5000 0.1165
0.9629 0.5000 0.8835
```

Computed properties:
crystal system: monoclinic
symmetry: P2/m
E_form: -0.23 eV per atom
DOS(E_F): 0.35 states/eV/atom



# 8
# Y2BC

Crystalline Y2BC at its relaxed geometry (PBE-GGA, Alexandria).

```
Y2BC
1.0
6.5336 0.0000 0.0000
0.0000 6.5336 0.0000
0.0000 0.0000 7.1394
Y B C
8 4 4
direct
0.2203 0.2500 0.1250
0.2500 0.7203 0.3750
0.2500 0.7797 0.8750
0.2797 0.2500 0.6250
0.7203 0.7500 0.6250
0.7500 0.2203 0.8750
0.7500 0.2797 0.3750
0.7797 0.7500 0.1250
0.0000 0.0000 0.5000
0.0000 0.5000 0.7500
0.5000 0.0000 0.2500
0.5000 0.5000 0.0000
0.0000 0.0000 0.0000
0.0000 0.5000 0.2500
0.5000 0.0000 0.7500
0.5000 0.5000 0.5000
```

Computed properties:
crystal system: tetragonal
symmetry: I-42d
E_form: 0.35 eV per atom
DOS(E_F): 0.50 states/eV/atom



# 9
# YBC

Crystalline YBC at its relaxed geometry (PBE-GGA, Alexandria).

```
YBC
1.0
3.0336 0.0000 0.0000
-1.5168 2.6272 0.0000
0.0000 0.0000 9.4501
Y B C
2 2 2
direct
0.3333 0.6667 0.1786
0.6667 0.3333 0.8214
0.3333 0.6667 0.4336
0.6667 0.3333 0.5664
0.3333 0.6667 0.6143
0.6667 0.3333 0.3857
```

Computed properties:
crystal system: trigonal
symmetry: P-3m1
E_form: 0.36 eV per atom
DOS(E_F): 0.50 states/eV/atom



# 10
# Y3BC

Crystalline Y3BC at its relaxed geometry (PBE-GGA, Alexandria).

```
Y3BC
1.0
4.7568 0.0000 0.0000
0.0000 4.7568 0.0000
0.0000 0.0000 4.7568
Y B C
3 1 1
direct
0.0000 0.0000 0.5000
0.0000 0.5000 0.0000
0.5000 0.0000 0.0000
0.5000 0.5000 0.5000
0.0000 0.0000 0.0000
```

Computed properties:
crystal system: cubic
symmetry: Pm-3m
E_form: 0.17 eV per atom
DOS(E_F): 0.15 states/eV/atom



# 11
# YB3C

Crystalline YB3C at its relaxed geometry (PBE-GGA, Alexandria).

```
YB3C
1.0
3.7260 0.0000 0.0000
0.0000 3.7260 0.0000
0.0000 0.0000 3.7260
Y B C
1 3 1
direct
0.0000 0.0000 0.0000
0.0000 0.5000 0.5000
0.5000 0.0000 0.5000
0.5000 0.5000 0.0000
0.5000 0.5000 0.5000
```

Computed properties:
crystal system: cubic
symmetry: Pm-3m
E_form: 1.37 eV per atom
DOS(E_F): 0.42 states/eV/atom



# 12
# Y2B6C3

Crystalline Y2B6C3 at its relaxed geometry (PBE-GGA, Alexandria).

```
Y2B6C3
1.0
6.6847 0.0000 0.0000
-3.3423 5.7891 0.0000
0.0000 0.0000 3.0764
Y B C
2 6 3
direct
0.3333 0.6667 0.0000
0.6667 0.3333 0.0000
0.0000 0.1464 0.0000
0.0000 0.7851 0.5000
0.1464 0.0000 0.0000
0.2149 0.2149 0.5000
0.7851 0.0000 0.5000
0.8536 0.8536 0.0000
0.0000 0.5671 0.5000
0.4329 0.4329 0.5000
0.5671 0.0000 0.5000
```

Computed properties:
crystal system: hexagonal
symmetry: P-62m
E_form: 0.64 eV per atom
DOS(E_F): 0.67 states/eV/atom



# 13
# YBC

Crystalline YBC at its relaxed geometry (PBE-GGA, Alexandria).

```
YBC
1.0
3.0273 0.0000 0.0000
-1.5136 2.6217 0.0000
0.0000 0.0000 8.0985
Y B C
2 2 2
direct
0.0000 0.0000 0.0000
0.0000 0.0000 0.5000
0.3333 0.6667 0.2500
0.6667 0.3333 0.7500
0.3333 0.6667 0.7500
0.6667 0.3333 0.2500
```

Computed properties:
crystal system: hexagonal
symmetry: P6_3/mmc
E_form: -0.29 eV per atom
DOS(E_F): 0.19 states/eV/atom



# 14
# Y3BC3

Crystalline Y3BC3 at its relaxed geometry (PBE-GGA, Alexandria).

```
Y3BC3
1.0
6.9532 0.0000 0.0000
-3.4766 6.0217 0.0000
0.0000 0.0000 5.1615
Y B C
6 2 6
direct
0.0673 0.3614 0.2500
0.2941 0.9327 0.2500
0.3614 0.2941 0.7500
0.6386 0.7059 0.2500
0.7059 0.0673 0.7500
0.9327 0.6386 0.7500
0.3333 0.6667 0.7500
0.6667 0.3333 0.2500
0.1045 0.4153 0.7500
0.3107 0.8955 0.7500
0.4153 0.3107 0.2500
0.5847 0.6893 0.7500
0.6893 0.1045 0.2500
0.8955 0.5847 0.2500
```

Computed properties:
crystal system: hexagonal
symmetry: P6_3/m
E_form: -0.30 eV per atom



# 15
# YBC

Crystalline YBC at its relaxed geometry (PBE-GGA, Alexandria).

```
YBC
1.0
3.0373 0.0000 0.0000
-1.5187 2.6304 0.0000
0.0000 0.0000 4.0277
Y B C
1 1 1
direct
0.0000 0.0000 0.0000
0.3333 0.6667 0.5000
0.6667 0.3333 0.5000
```

Computed properties:
crystal system: hexagonal
symmetry: P-6m2
E_form: -0.29 eV per atom
DOS(E_F): 0.07 states/eV/atom



# 16
# YBC2

Crystalline YBC2 at its relaxed geometry (PBE-GGA, Alexandria).

```
YBC2
1.0
4.0420 0.0000 0.0000
0.0000 4.0420 0.0000
0.0000 0.0000 10.3279
Y B C
4 4 8
direct
0.0000 0.0000 0.0000
0.0000 0.5000 0.2500
0.5000 0.0000 0.7500
0.5000 0.5000 0.5000
0.0000 0.0000 0.5000
0.0000 0.5000 0.7500
0.5000 0.0000 0.2500
0.5000 0.5000 0.0000
0.0296 0.2500 0.6250
0.2500 0.5296 0.8750
0.2500 0.9704 0.3750
0.4704 0.2500 0.1250
0.5296 0.7500 0.1250
0.7500 0.0296 0.3750
0.7500 0.4704 0.8750
0.9704 0.7500 0.6250
```

Computed properties:
crystal system: tetragonal
symmetry: I-42d
E_form: 0.26 eV per atom
DOS(E_F): 0.17 states/eV/atom



# 17
# YBC3

Crystalline YBC3 at its relaxed geometry (PBE-GGA, Alexandria).

```
YBC3
1.0
3.6288 0.0000 0.0000
0.0000 3.6288 0.0000
0.0000 0.0000 3.6288
Y B C
1 1 3
direct
0.0000 0.0000 0.0000
0.5000 0.5000 0.5000
0.0000 0.5000 0.5000
0.5000 0.0000 0.5000
0.5000 0.5000 0.0000
```

Computed properties:
crystal system: cubic
symmetry: Pm-3m
E_form: 1.44 eV per atom
DOS(E_F): 0.47 states/eV/atom



# 18
# YBC2

Crystalline YBC2 at its relaxed geometry (PBE-GGA, Alexandria).

```
YBC2
1.0
3.4948 0.0000 0.0000
0.0000 4.0813 0.0000
0.0000 0.0000 6.7984
Y B C
2 2 4
direct
0.0000 0.0000 0.0000
0.0000 0.5000 0.5000
0.5000 0.0000 0.3073
0.5000 0.5000 0.8073
0.5000 0.1657 0.7370
0.5000 0.3343 0.2370
0.5000 0.6657 0.2370
0.5000 0.8343 0.7370
```

Computed properties:
crystal system: orthorhombic
symmetry: Amm2
E_form: -0.14 eV per atom
DOS(E_F): 0.20 states/eV/atom



# 19
# YBC

Crystalline YBC at its relaxed geometry (PBE-GGA, Alexandria).

```
YBC
1.0
3.6168 0.0000 0.0000
-0.0013 3.6276 0.0000
-1.7720 -0.5856 6.4412
Y B C
2 2 2
direct
0.1514 0.2055 0.3008
0.8486 0.7945 0.6992
0.4454 0.3634 0.8947
0.5546 0.6366 0.1053
0.3353 0.2848 0.6727
0.6647 0.7152 0.3273
```

Computed properties:
crystal system: triclinic
symmetry: P-1
E_form: -0.44 eV per atom
DOS(E_F): 0.21 states/eV/atom



# 20
# YB3C

Crystalline YB3C at its relaxed geometry (PBE-GGA, Alexandria).

```
YB3C
1.0
4.6936 0.0000 0.0000
0.0000 4.6936 0.0000
0.0000 0.0000 4.6936
Y B C
1 3 1
direct
0.0000 0.0000 0.0000
0.0000 0.0000 0.5000
0.0000 0.5000 0.0000
0.5000 0.0000 0.0000
0.5000 0.5000 0.5000
```

Computed properties:
crystal system: cubic
symmetry: Pm-3m
E_form: 3.57 eV per atom
DOS(E_F): 0.59 states/eV/atom